Entry 1:
First-principles (PBE) data for Li5Mg2Cd4 after structural relaxation, as listed in Alexandria.

The structure in extended XYZ format:
```
11
Lattice="-0.095 -1.606 -2.600 7.462 -2.866 1.498 -7.581 -5.378 5.396" Properties=species:S:1:pos:R:3 pbc="T T T"
Li -0.047 -0.803 -1.300
Li 0.341 -2.806 1.721
Li -5.046 -5.319 1.671
Li -0.555 -7.044 2.572
Li 4.832 -4.532 2.622
Cd 1.836 -5.846 1.745
Cd -2.050 -4.004 2.548
Cd 5.382 -2.067 1.080
Cd 2.080 -0.799 0.418
Mg -3.185 -6.222 3.958
Mg 2.971 -3.628 0.334
```

Properties
- Formation energy from the elements: -62 meV per atom
- Space group: No. 71
- Offset from the most stable computed form: 98 meV/atom
- M_tot: 0.00 μB/cell

***

Entry 2:
First-principles (PBE) data for TlSi2Tc after structural relaxation, as listed in Alexandria.

The structure in extended XYZ format:
```
4
Lattice="-1.126 5.024 1.071 0.054 0.830 5.193 2.946 -1.436 -4.113" Properties=species:S:1:pos:R:3 pbc="T T T"
Tl 1.232 1.161 2.106
Si -0.568 3.099 3.316
Si -1.041 5.682 6.079
Tc 0.642 3.258 0.045
```

Properties
- Formation energy from raw total energies: 0.545 eV/atom
- Space group: No. 71
- Offset from the most stable computed form: 517 meV/atom
- M_tot: 0.00 μB/cell